LiRe2W: optimized geometry, GGA-PBE.

Cell and atoms, written as POSCAR:
```
LiRe2W
1.0
2.6830 0.0000 0.0000
0.0000 4.1474 0.0000
0.0000 0.0000 5.2752
Re W Li
2 1 1
Direct
0.5000 0.5000 0.2418 Re
0.0000 0.0000 0.0002 Re
0.0000 0.0000 0.5078 W
0.5000 0.5000 0.7501 Li
```

Calculated values
* crystal system: orthorhombic
* energy of formation from the pure elements: 0.34 eV per atom
* relative energy among the computed polymorphs: 0.60 eV per formula unit
* total magnetic moment: 0.00 μB per formula unit